Material: ScRu2Br
Method: DFT, GGA-PBEsol
State: optimized geometry

Cell lengths 2.9975, 4.4441, 4.6655 Å; angles 90.00, 90.00, 90.00 degrees
With the nearest neighbours (Å) after each atom.
Fractional positions:
Br: 0.0000 0.5000 0.5000  4 Ru 2.68, 4 Sc 2.77, 2 Br 3.00
Sc: 0.5000 0.5000 0.0000  4 Ru 2.68, 4 Br 2.77, 2 Sc 3.00
Ru: 0.5000 0.0000 0.5000  4 Br 2.68, 6 Ru 2.77-3.00
Ru: 0.0000 0.0000 0.0000  4 Sc 2.68, 6 Ru 2.77-3.00

Properties
Distance to the lowest polymorph of the same formula (meV/atom): 217
ΔE_f (raw) (eV/atom): 0.157
SG: Pmmm